Entry 1:
A plane-wave DFT calculation with PBE was carried out for BeFeBiMo after structural relaxation.

```
4
Lattice="0.000 3.119 3.119 3.119 0.000 3.119 3.119 3.119 0.000" Properties=species:S:1:pos:R:3 pbc="T T T"
Be 0.000 0.000 0.000
Fe 3.119 3.119 3.119
Bi 1.560 1.560 1.560
Mo 4.679 4.679 4.679
```

Energy relative to the lowest polymorph listed for this composition = 0 meV/atom
Space-group type = F-43m (216)
Energy = -6.00 eV/atom

Entry 2:
A plane-wave DFT calculation with PBE was carried out for BeNbFeBi after structural relaxation.

```
4
Lattice="0.000 3.169 3.169 3.169 0.000 3.169 3.169 3.169 0.000" Properties=species:S:1:pos:R:3 pbc="T T T"
Be 0.000 0.000 0.000
Nb 4.753 4.753 4.753
Fe 3.169 3.169 3.169
Bi 1.584 1.584 1.584
```

Energy relative to the lowest polymorph listed for this composition = 0 meV/atom
Space-group type = F-43m (216)
Energy = -5.99 eV/atom

Entry 3:
A plane-wave DFT calculation with PBE was carried out for BeNbFeBi after structural relaxation.

```
4
Lattice="0.000 3.191 3.191 3.191 0.000 3.191 3.191 3.191 0.000" Properties=species:S:1:pos:R:3 pbc="T T T"
Be 0.000 0.000 0.000
Nb 1.596 1.596 1.596
Fe 4.787 4.787 4.787
Bi 3.191 3.191 3.191
```

Energy relative to the lowest polymorph listed for this composition = 111 meV/atom
Space-group type = F-43m (216)
Energy = -5.88 eV/atom

Entry 4:
A plane-wave DFT calculation with PBE was carried out for BeFeTcBi after structural relaxation.

```
4
Lattice="0.000 3.085 3.085 3.085 0.000 3.085 3.085 3.085 0.000" Properties=species:S:1:pos:R:3 pbc="T T T"
Be 0.000 0.000 0.000
Fe 4.627 4.627 4.627
Tc 1.542 1.542 1.542
Bi 3.085 3.085 3.085
```

Energy relative to the lowest polymorph listed for this composition = 0 meV/atom
Space-group type = F-43m (216)
Energy = -6.02 eV/atom